LiYPd: relaxed, PBE-GGA.

V (Å³ per cell): 281.7
Relative energy among the computed polymorphs (eV/f.u.): 0.55

Lattice parameters (Å, degrees): 6.5554 6.5554 6.5554 90.00 90.00 90.00
Space group F-43m (No. 216)
Symmetry-distinct sites (fractional):
Li 0.0000 0.0000 0.0000 (multiplicity 4)
Y 0.0000 0.0000 0.5000 (multiplicity 4)
Pd 0.2500 0.2500 0.2500 (multiplicity 4)

---

LiY2Pd5: relaxed, PBE-GGA.

V (Å³ per cell): 292.0
Relative energy among the computed polymorphs (eV/f.u.): 1.11

Lattice parameters (Å, degrees): 4.9575 4.9575 11.8804 90.00 90.00 90.00
Space group I4/mmm (No. 139)
Symmetry-distinct sites (fractional):
Li 0.0000 0.0000 0.0000 (multiplicity 2)
Y 0.0000 0.0000 0.2561 (multiplicity 4)
Pd 0.0000 0.0000 0.5000 (multiplicity 2)
Pd 0.0000 0.5000 0.1178 (multiplicity 8)

---

Li3YPd3: relaxed, PBE-GGA.

V (Å³ per cell): 260.5

Lattice parameters (Å, degrees): 6.3865 6.3865 6.3865 90.00 90.00 90.00
Space group Pm-3n (No. 223)
Symmetry-distinct sites (fractional):
Li 0.0000 0.2500 0.5000 (multiplicity 6)
Y 0.0000 0.0000 0.0000 (multiplicity 2)
Pd 0.0000 0.5000 0.2500 (multiplicity 6)

---

LiY4Pd5: relaxed, PBE-GGA.

V (Å³ per cell): 202.9

Lattice parameters (Å, degrees): 3.4728 3.4728 16.8237 90.00 90.00 90.00
Space group P4/mmm (No. 123)
Symmetry-distinct sites (fractional):
Li 0.0000 0.0000 0.0000 (multiplicity 1)
Y 0.0000 0.0000 0.1800 (multiplicity 2)
Y 0.0000 0.0000 0.3935 (multiplicity 2)
Pd 0.5000 0.5000 0.0835 (multiplicity 2)
Pd 0.5000 0.5000 0.2872 (multiplicity 2)
Pd 0.5000 0.5000 0.5000 (multiplicity 1)

---

Li3YPd: relaxed, PBE-GGA.

V (Å³ per cell): 102.8
Relative energy among the computed polymorphs (eV/f.u.): 0.00

Lattice parameters (Å, degrees): 4.6845 4.6845 4.6845 90.00 90.00 90.00
Space group Pm-3m (No. 221)
Symmetry-distinct sites (fractional):
Li 0.0000 0.0000 0.5000 (multiplicity 3)
Y 0.5000 0.5000 0.5000 (multiplicity 1)
Pd 0.0000 0.0000 0.0000 (multiplicity 1)

---

LiY2Pd5: relaxed, PBE-GGA.

V (Å³ per cell): 281.7
Relative energy among the computed polymorphs (eV/f.u.): 0.00

Lattice parameters (Å, degrees): 5.9512 5.9512 7.9542 90.00 90.00 90.00
Space group I4mm (No. 107)
Symmetry-distinct sites (fractional):
Li 0.0000 0.0000 0.0000 (multiplicity 2)
Y 0.0000 0.5000 0.0013 (multiplicity 4)
Pd 0.0000 0.0000 0.5015 (multiplicity 2)
Pd 0.2498 0.2498 0.2513 (multiplicity 8)

---

Li5YPd6: relaxed, PBE-GGA.

V (Å³ per cell): 180.9

Lattice parameters (Å, degrees): 4.1776 6.9231 6.5976 90.00 108.58 90.00
Space group P2/m (No. 10)
Symmetry-distinct sites (fractional):
Li 0.0000 0.0000 0.0000 (multiplicity 1)
Li 0.3195 0.5000 0.6397 (multiplicity 2)
Li 0.3333 0.0000 0.6654 (multiplicity 2)
Y 0.0000 0.5000 0.0000 (multiplicity 1)
Pd 0.1703 0.2329 0.3414 (multiplicity 4)
Pd 0.5000 0.2243 0.0000 (multiplicity 2)

---

LiYPd3: relaxed, PBE-GGA.

V (Å³ per cell): 84.8
Relative energy among the computed polymorphs (eV/f.u.): 0.36

Lattice parameters (Å, degrees): 4.3927 4.3927 4.3927 90.00 90.00 90.00
Space group Pm-3m (No. 221)
Symmetry-distinct sites (fractional):
Li 0.0000 0.0000 0.0000 (multiplicity 1)
Y 0.5000 0.5000 0.5000 (multiplicity 1)
Pd 0.0000 0.0000 0.5000 (multiplicity 3)

---

LiY2Pd6: relaxed, PBE-GGA.

V (Å³ per cell): 339.5

Lattice parameters (Å, degrees): 13.8552 7.8156 3.2224 90.00 103.38 90.00
Space group C2/m (No. 12)
Symmetry-distinct sites (fractional):
Li 0.0000 0.0000 0.0000 (multiplicity 2)
Y 0.1498 0.5000 0.6499 (multiplicity 4)
Pd 0.0000 0.2473 0.5000 (multiplicity 4)
Pd 0.1672 0.1971 0.1671 (multiplicity 8)

---

Li2YPd8: relaxed, PBE-GGA.

V (Å³ per cell): 349.1

Lattice parameters (Å, degrees): 14.2193 4.0356 6.3700 90.00 107.24 90.00
Space group C2/m (No. 12)
Symmetry-distinct sites (fractional):
Li 0.2277 0.0000 0.1476 (multiplicity 4)
Y 0.0000 0.5000 0.5000 (multiplicity 2)
Pd 0.0481 0.0000 0.2224 (multiplicity 4)
Pd 0.0963 0.5000 0.9696 (multiplicity 4)
Pd 0.1446 0.0000 0.7045 (multiplicity 4)
Pd 0.1851 0.5000 0.4174 (multiplicity 4)

---

LiYPd3: relaxed, PBE-GGA.

V (Å³ per cell): 358.2
Relative energy among the computed polymorphs (eV/f.u.): 0.00

Lattice parameters (Å, degrees): 5.4976 7.6084 8.5630 90.00 90.00 90.00
Space group Imma (No. 74)
Symmetry-distinct sites (fractional):
Li 0.0000 0.0000 0.0000 (multiplicity 4)
Y 0.0000 0.2500 0.4989 (multiplicity 4)
Pd 0.0000 0.2500 0.1799 (multiplicity 4)
Pd 0.2500 0.0590 0.7500 (multiplicity 8)

---

LiY4Pd3: relaxed, PBE-GGA.

V (Å³ per cell): 185.2

Lattice parameters (Å, degrees): 3.7705 4.6194 10.6355 90.00 90.00 90.00
Space group Pmm2 (No. 25)
Symmetry-distinct sites (fractional):
Li 0.0000 0.0000 0.0000 (multiplicity 1)
Y 0.0000 0.0000 0.2999 (multiplicity 1)
Y 0.0000 0.5000 0.5675 (multiplicity 1)
Y 0.5000 0.0000 0.7805 (multiplicity 1)
Y 0.5000 0.5000 0.0706 (multiplicity 1)
Pd 0.0000 0.5000 0.8563 (multiplicity 1)
Pd 0.5000 0.0000 0.5156 (multiplicity 1)
Pd 0.5000 0.5000 0.3443 (multiplicity 1)

---

no.,DFT formation energy (eV per formula unit)
1,-1.24
2,-5.34
3,0.14
4,-8.05
5,0.10
6,-6.45
7,-6.35
8,-2.49
9,-4.03
10,-4.91
11,-2.85
12,-5.19